No. 1
5
Lattice="5.161 0.000 0.000 0.000 4.748 0.000 0.000 0.000 5.161" Properties=species:S:1:pos:R:3 comment="RbCaC2N, relaxed, DFT PBE-GGA" total_magnetization_mub_per_cell=3.88 final_energy_ev_per_cell=-18.57 raw_formation_energy_ev_per_atom=2.24 pbc="T T T"
N 0.000 2.374 0.000
Rb 2.581 2.374 2.581
C 2.581 0.000 0.000
Ca 0.000 0.000 0.000
C 0.000 0.000 2.581

No. 2
5
Lattice="-4.122 0.455 1.459 1.765 -0.315 5.084 0.514 4.365 0.092" Properties=species:S:1:pos:R:3 comment="CaRhCN2, relaxed, DFT PBE-GGA" total_magnetization_mub_per_cell=3.28 final_energy_ev_per_cell=-19.43 raw_formation_energy_ev_per_atom=3.16 pbc="T T T"
Ca 0.000 0.000 0.000
N -2.061 0.227 0.730
C -0.922 2.252 3.318
N 0.257 2.183 0.046
Rh 0.882 -0.158 2.542

No. 3
12
Lattice="-3.908 -3.323 -1.041 4.730 -0.782 -2.100 1.580 -3.367 4.814" Properties=species:S:1:pos:R:3 comment="Ca3RuC2N6, relaxed, DFT PBE-GGA" total_magnetization_mub_per_cell=0.00 final_energy_ev_per_cell=-88.15 raw_formation_energy_ev_per_atom=-0.37 pbc="T T T"
N 1.465 -1.848 0.402
C 0.096 -4.871 2.030
N 0.568 -3.775 2.685
Ca 2.962 -3.995 1.636
C 2.307 -2.601 -0.358
Ca -0.559 -3.477 0.036
N 1.835 -3.697 -1.013
N 0.938 -5.624 1.271
N -1.192 -5.272 2.216
Ca 0.000 0.000 0.000
Ru 0.790 -1.683 2.407
N 3.595 -2.200 -0.544